DFT (PBE) results for a geometry-optimized LiGaC structure.

Structure (extended XYZ):
```
6
Lattice="1.4122 -10.7123 0.0000 1.4122 10.7123 0.0000 0.0000 0.0000 3.2279" Properties=species:S:1:pos:R:3 pbc="T T T"
Li 1.4122 8.8430 0.0000
Li 1.4122 -8.8430 0.0000
Ga 1.4122 4.0732 1.6140
Ga 1.4122 -4.0732 1.6140
C 1.4122 10.0804 1.6140
C 1.4122 -10.0804 1.6140
```

Space-group type: Cmmm
Calculated volume in Å³ per cell: 97.67
E_form in eV per atom: 0.561